A relaxed structure of AsPbO3, computed with PBE-GGA.

Calculated values
V   80.2 Å³/f.u.
Total DFT energy (no corrections)   -57.95 eV per cell
ΔE_f (raw)   -111 kJ/mol of atoms
DOS(E_F)   1.7 states/eV per cell

Cell and atoms, written as POSCAR:
```
AsPbO3
1.0
3.6650 0.0000 0.0000
0.0000 6.3221 0.0000
-1.8320 0.0000 6.9224
As Pb O
2 2 6
Cartesian
-0.0025 1.5805 1.0324
1.8355 4.7416 5.8901
0.0011 1.5805 4.6280
1.8319 4.7416 2.2944
-0.0023 0.2224 2.1465
-0.0023 2.9387 2.1465
0.0031 4.7416 6.6014
1.8299 1.5805 0.3210
1.8353 3.3834 4.7759
1.8353 6.0998 4.7759
```

---

A relaxed structure of ScAgSnPt, computed with PBE-GGA.

Calculated values
V   74.8 Å³/f.u.
E_form   -0.6419 eV/atom
Total DFT energy (no corrections)   -21.79 eV per cell
DOS(E_F)   2.4 states/eV per cell

Cell and atoms, written as POSCAR:
```
ScAgSnPt
1.0
0.0000 3.3437 3.3437
3.3437 0.0000 3.3437
3.3437 3.3437 0.0000
Sc Ag Sn Pt
1 1 1 1
Cartesian
0.0000 0.0000 0.0000
5.0155 5.0155 5.0155
3.3437 3.3437 3.3437
1.6718 1.6718 1.6718
```